{"formula": "SrFe2Os2", "functional": "PBE", "state": "relaxed", "lattice_angstrom": [[4.2492, 0.0000, 0.0000], [0.0000, 4.2492, 0.0000], [0.0000, 0.0000, 10.0271]], "species": ["Sr", "Sr", "Fe", "Fe", "Fe", "Fe", "Os", "Os", "Os", "Os"], "frac_coords": [[0.0000, 0.0000, 0.0000], [0.5000, 0.5000, 0.5000], [0.0000, 0.5000, 0.2500], [0.0000, 0.5000, 0.7500], [0.5000, 0.0000, 0.2500], [0.5000, 0.0000, 0.7500], [0.0000, 0.0000, 0.3787], [0.0000, 0.0000, 0.6213], [0.5000, 0.5000, 0.1213], [0.5000, 0.5000, 0.8787]], "dos_at_fermi_per_ev_fu": 4.7, "dft_energy_ev_per_fu": -39.1, "space_group": "I4/mmm (139)", "formation_enthalpy_0k_ev_per_atom": 0.39}

=====

{"formula": "YEr4Sc6", "functional": "PBE", "state": "relaxed", "lattice_angstrom": [[8.5063, 0.0000, 0.0000], [-4.2532, 7.3667, 0.0000], [0.0000, 0.0000, 5.0522]], "species": ["Y", "Er", "Er", "Er", "Er", "Sc", "Sc", "Sc", "Sc", "Sc", "Sc"], "frac_coords": [[0.0000, 0.0000, 0.0000], [0.3333, 0.6667, 0.0000], [0.3949, 0.1974, 0.5000], [0.8026, 0.1974, 0.5000], [0.8026, 0.6051, 0.5000], [0.2138, 0.4277, 0.5000], [0.2138, 0.7862, 0.5000], [0.5386, 0.0772, 0.0000], [0.5386, 0.4614, 0.0000], [0.5723, 0.7862, 0.5000], [0.9228, 0.4614, 0.0000]], "dos_at_fermi_per_ev_fu": 15.7, "dft_energy_ev_per_fu": -59.0, "space_group": "P-6m2 (187)", "formation_enthalpy_0k_ev_per_atom": 0.34}

=====

{"formula": "Nd5ErBi4", "functional": "PBE", "state": "relaxed", "lattice_angstrom": [[9.7325, -2.2424, 0.0000], [9.7325, 2.2424, 0.0000], [-2.3505, 0.0000, 8.4315]], "species": ["Nd", "Nd", "Nd", "Nd", "Nd", "Er", "Bi", "Bi", "Bi", "Bi"], "frac_coords": [[0.0000, 0.0000, 0.0000], [0.3226, 0.3226, 0.1484], [0.3353, 0.3353, 0.6810], [0.6647, 0.6647, 0.3190], [0.6774, 0.6774, 0.8516], [0.0000, 0.0000, 0.5000], [0.1663, 0.1663, 0.5832], [0.4928, 0.4928, 0.2509], [0.5072, 0.5072, 0.7491], [0.8337, 0.8337, 0.4168]], "dos_at_fermi_per_ev_fu": 7.2, "dft_energy_ev_per_fu": -49.4, "space_group": "C2/m (12)", "formation_enthalpy_0k_ev_per_atom": -0.55}